HgTe2Pb: optimized geometry, PBE-GGA.

Cell lengths 6.022, 3.237, 6.364 Å; angles 85.78, 90.00, 90.00 degrees
Element x y z (fractional)
Te: 0.000 0.756 0.001
Te: 0.000 0.744 0.499
Pb: 0.500 0.750 0.750
Hg: 0.500 0.250 0.250

Calculated values
DFT total energy: -2.588 eV per atom
Space group: No. 10
Formation energy without anion corrections: -0.014 eV per atom
DOS(E_F): 1.8 states/eV/cell
Calculated volume: 30.93 A^3/atom
Total magnetization: 0.00 μB/f.u.

***

Pm5Nd2Ge4: optimized geometry, PBE-GGA.

Cell lengths 3.603, 7.115, 13.154 Å; angles 88.62, 97.87, 90.00 degrees
Element x y z (fractional)
Pm: 0.500 0.000 0.000
Pm: 0.869 0.198 0.738
Ge: 0.976 0.346 0.953
Pm: 0.131 0.802 0.262
Ge: 0.024 0.654 0.047
Ge: 0.326 0.496 0.652
Pm: 0.766 0.751 0.531
Ge: 0.674 0.504 0.348
Nd: 0.907 0.697 0.813
Pm: 0.234 0.249 0.469
Nd: 0.093 0.303 0.187

Calculated values
DFT total energy: -5.045 eV per atom
Space group: No. 12
DOS(E_F): 11.3 states/eV/cell
Calculated volume: 30.36 A^3/atom
DFT formation energy: -0.340 eV per atom
Total magnetization: 0.00 μB/f.u.

***

CeGdAg: optimized geometry, PBE-GGA.

Cell lengths 3.027, 5.228, 5.228 Å; angles 120.00, 90.00, 90.00 degrees
Each line ends with the local moment (μB).
Element x y z (fractional)
Ce: 0.834 0.000 0.000  0.51
Ag: 0.334 0.333 0.667  0.00
Gd: 0.833 0.667 0.333  -7.17

Calculated values
DFT total energy: -7.510 eV per atom
Space group: No. 187
DOS(E_F): 5.3 states/eV/cell
Calculated volume: 23.89 A^3/atom
DFT formation energy: 0.112 eV per atom
Total magnetization: 6.69 μB/f.u.

***

La5HoCd6: optimized geometry, PBE-GGA.

Cell lengths 5.496, 7.832, 8.728 Å; angles 90.00, 71.65, 90.00 degrees
Each line ends with the local moment (μB).
Element x y z (fractional)
Cd: 0.839 0.242 0.321  0.01
Cd: 0.840 0.758 0.321  0.01
La: 0.329 0.500 0.342  0.13
La: 0.000 0.500 0.000  0.10
La: 0.334 0.000 0.333  0.09
La: 0.666 0.000 0.667  0.09
Cd: 0.161 0.758 0.679  0.01
La: 0.671 0.500 0.658  0.13
Ho: 0.000 0.000 0.000  0.09
Cd: 0.500 0.240 0.000  0.01
Cd: 0.160 0.242 0.679  0.01
Cd: 0.500 0.760 0.000  0.01

Calculated values
DFT total energy: -3.212 eV per atom
Space group: No. 65
DOS(E_F): 15.7 states/eV/cell
Calculated volume: 29.71 A^3/atom
DFT formation energy: -0.320 eV per atom
Total magnetization: 1.43 μB/f.u.

***

BaSeO2F: optimized geometry, PBE-GGA.

Cell lengths 5.015, 5.015, 5.063 Å; angles 90.00, 90.00, 90.00 degrees
Each line ends with the local moment (μB).
Element x y z (fractional)
Ba: 0.000 0.000 0.000  -0.09
Se: 0.500 0.500 0.500  1.44
F: 0.000 0.000 0.500  0.11
O: 0.000 0.500 0.000  -0.65
O: 0.500 0.000 0.000  -0.65

Calculated values
DFT total energy: -3.834 eV per atom
Space group: No. 123
Formation energy without anion corrections: -0.395 eV per atom
DOS(E_F): 4.4 states/eV/cell
Calculated volume: 25.47 A^3/atom
Total magnetization: 0.73 μB/f.u.

***

Ru2BrCl: optimized geometry, PBE-GGA.

Cell lengths 8.044, 8.044, 8.044 Å; angles 22.01, 22.01, 22.01 degrees
Element x y z (fractional)
Ru: 0.001 0.001 0.001
Cl: 0.750 0.750 0.750
Ru: 0.499 0.499 0.499
Br: 0.250 0.250 0.250

Calculated values
DFT total energy: -4.729 eV per atom
Space group: No. 166
Formation energy without anion corrections: 0.789 eV per atom
DOS(E_F): 5.0 states/eV/cell
Calculated volume: 16.02 A^3/atom
Total magnetization: 0.00 μB/f.u.

***

GaPt3O: optimized geometry, PBE-GGA.

Cell lengths 4.639, 4.639, 4.639 Å; angles 90.00, 90.00, 90.00 degrees
Element x y z (fractional)
Pt: 0.500 0.000 0.000
O: 0.500 0.500 0.500
Ga: 0.000 0.000 0.000
Pt: 0.000 0.500 0.000
Pt: 0.000 0.000 0.500

Calculated values
DFT total energy: -3.921 eV per atom
Space group: No. 221
Formation energy without anion corrections: 1.301 eV per atom
DOS(E_F): 9.7 states/eV/cell
Calculated volume: 19.97 A^3/atom
Total magnetization: 0.00 μB/f.u.

***

H2BrCl: optimized geometry, PBE-GGA.

Cell lengths 4.359, 4.359, 4.359 Å; angles 60.00, 60.00, 60.00 degrees
Each line ends with the local moment (μB).
Element x y z (fractional)
Br: 0.500 0.500 0.500  -0.27
Cl: 0.000 0.000 0.000  -0.16
H: 0.750 0.750 0.750  0.22
H: 0.250 0.250 0.250  0.22

Calculated values
DFT total energy: -1.289 eV per atom
Space group: No. 225
DOS(E_F): 2.9 states/eV/cell
Calculated volume: 14.64 A^3/atom
Total magnetization: 0.46 μB/f.u.

***

ErThCu2: optimized geometry, PBE-GGA.

Cell lengths 3.755, 4.351, 5.731 Å; angles 90.00, 109.36, 90.00 degrees
Element x y z (fractional)
Cu: 0.154 0.500 0.849
Er: 0.726 0.000 0.990
Cu: 0.014 0.000 0.566
Th: 0.437 0.500 0.413

Calculated values
DFT total energy: -5.223 eV per atom
Space group: No. 6
DOS(E_F): 4.9 states/eV/cell
Calculated volume: 22.08 A^3/atom
DFT formation energy: -0.179 eV per atom
Total magnetization: 0.00 μB/f.u.

***

SrCo2Ir: optimized geometry, PBE-GGA.

Cell lengths 3.251, 4.692, 4.439 Å; angles 90.00, 90.00, 90.00 degrees
Each line ends with the local moment (μB).
Element x y z (fractional)
Co: 0.500 0.500 0.000  1.57
Sr: 0.000 0.500 0.500  -0.08
Ir: 0.500 0.000 0.500  0.51
Co: 0.000 0.000 0.000  1.95

Calculated values
DFT total energy: -5.448 eV per atom
Space group: No. 47
DOS(E_F): 4.9 states/eV/cell
Calculated volume: 16.92 A^3/atom
DFT formation energy: 0.740 eV per atom
Total magnetization: 3.78 μB/f.u.

***

SCl3O: optimized geometry, PBE-GGA.

Cell lengths 4.403, 8.406, 10.495 Å; angles 113.61, 90.00, 90.00 degrees
Element x y z (fractional)
Cl: 0.838 0.141 0.665
Cl: 0.860 0.016 0.032
Cl: 0.838 0.524 0.665
O: 0.129 0.440 0.880
S: 0.621 0.635 0.270
O: 0.629 0.560 0.120
Cl: 0.360 0.984 0.968
Cl: 0.338 0.859 0.335
S: 0.121 0.365 0.730
Cl: 0.338 0.476 0.335

Calculated values
DFT total energy: -3.366 eV per atom
Space group: No. 36
Formation energy without anion corrections: -0.441 eV per atom
Calculated volume: 35.59 A^3/atom
Total magnetization: 0.00 μB/f.u.

***

TlMoBr: optimized geometry, PBE-GGA.

Cell lengths 4.781, 4.781, 3.184 Å; angles 90.00, 90.00, 120.00 degrees
Each line ends with the local moment (μB).
Element x y z (fractional)
Mo: 0.333 0.667 0.167  0.49
Tl: 0.667 0.333 0.667  -0.01
Br: 0.000 0.000 0.166  0.00

Calculated values
DFT total energy: -4.171 eV per atom
Space group: No. 187
Formation energy without anion corrections: 0.786 eV per atom
DOS(E_F): 3.5 states/eV/cell
Calculated volume: 21.01 A^3/atom
Total magnetization: 0.54 μB/f.u.

***

Sr2Pd3: optimized geometry, PBE-GGA.

Cell lengths 4.662, 5.688, 5.829 Å; angles 119.20, 113.58, 90.00 degrees
Element x y z (fractional)
Pd: 0.000 0.000 0.000
Sr: 0.198 0.698 0.396
Pd: 0.500 0.744 0.000
Sr: 0.802 0.302 0.604
Pd: 0.500 0.256 0.000

Calculated values
DFT total energy: -4.400 eV per atom
Space group: No. 71
DOS(E_F): 2.3 states/eV/cell
Calculated volume: 23.99 A^3/atom
DFT formation energy: -0.612 eV per atom
Total magnetization: 0.00 μB/f.u.

***

Ac2TlAsPd6: optimized geometry, PBE-GGA.

Cell lengths 7.224, 6.613, 6.610 Å; angles 50.76, 78.81, 98.14 degrees
Element x y z (fractional)
Pd: 0.243 0.250 0.517
Ac: 0.729 0.252 0.522
Tl: 0.500 0.500 0.000
Pd: 0.091 0.249 0.160
Pd: 0.757 0.750 0.483
Pd: 0.909 0.751 0.840
Pd: 0.758 0.241 0.991
Pd: 0.242 0.759 0.009
As: 0.000 0.000 0.000
Ac: 0.271 0.748 0.478

Calculated values
DFT total energy: -5.276 eV per atom
Space group: No. 2
DOS(E_F): 3.9 states/eV/cell
Calculated volume: 22.50 A^3/atom
DFT formation energy: -0.637 eV per atom
Total magnetization: 0.00 μB/f.u.

***

ErPuAlOs: optimized geometry, PBE-GGA.

Cell lengths 4.897, 4.897, 4.897 Å; angles 60.00, 60.00, 60.00 degrees
Each line ends with the local moment (μB).
Element x y z (fractional)
Er: 0.500 0.500 0.500  -0.04
Pu: 0.000 0.000 0.000  -5.00
Al: 0.750 0.750 0.750  0.01
Os: 0.250 0.250 0.250  0.35

Calculated values
DFT total energy: -8.609 eV per atom
Space group: No. 216
DOS(E_F): 6.2 states/eV/cell
Calculated volume: 20.77 A^3/atom
DFT formation energy: -0.143 eV per atom
Total magnetization: 4.87 μB/f.u.

***

Pm2GaF: optimized geometry, PBE-GGA.

Cell lengths 3.781, 3.781, 7.609 Å; angles 75.61, 75.61, 60.00 degrees
Element x y z (fractional)
Pm: 0.738 0.738 0.787
Pm: 0.262 0.262 0.213
F: 0.000 0.000 0.000
Ga: 0.500 0.500 0.500

Calculated values
DFT total energy: -4.999 eV per atom
Space group: No. 166
Formation energy without anion corrections: -1.399 eV per atom
DOS(E_F): 2.1 states/eV/cell
Calculated volume: 22.57 A^3/atom
Total magnetization: 0.00 μB/f.u.

***

Ac5La4Ho: optimized geometry, PBE-GGA.

Cell lengths 3.879, 3.879, 26.701 Å; angles 90.00, 90.00, 90.00 degrees
Element x y z (fractional)
Ho: 0.000 0.000 0.000
La: 0.000 0.000 0.805
Ac: 0.500 0.500 0.094
La: 0.000 0.000 0.195
Ac: 0.500 0.500 0.500
Ac: 0.500 0.500 0.297
Ac: 0.500 0.500 0.906
La: 0.000 0.000 0.398
Ac: 0.500 0.500 0.703
La: 0.000 0.000 0.602

Calculated values
DFT total energy: -4.451 eV per atom
Space group: No. 123
DOS(E_F): 19.4 states/eV/cell
Calculated volume: 40.17 A^3/atom
DFT formation energy: 0.032 eV per atom
Total magnetization: 0.00 μB/f.u.

***

HfSnHg2Pt: optimized geometry, PBE-GGA.

Cell lengths 5.149, 5.054, 5.149 Å; angles 90.00, 90.00, 90.00 degrees
Element x y z (fractional)
Sn: 0.000 0.500 0.000
Hg: 0.500 0.000 0.000
Hg: 0.000 0.000 0.500
Hf: 0.500 0.500 0.500
Pt: 0.000 0.000 0.000

Calculated values
DFT total energy: -3.568 eV per atom
Space group: No. 123
DOS(E_F): 4.2 states/eV/cell
Calculated volume: 26.80 A^3/atom
DFT formation energy: 0.552 eV per atom
Total magnetization: 0.00 μB/f.u.

***

TbPu2As3: optimized geometry, PBE-GGA.

Cell lengths 7.159, 7.159, 13.072 Å; angles 100.54, 100.54, 109.38 degrees
Each line ends with the local moment (μB).
Element x y z (fractional)
Pu: 0.750 0.750 0.501  -5.06
As: 0.583 0.581 0.666  0.00
Pu: 0.000 0.500 0.001  -5.06
Tb: 0.167 0.667 0.334  -0.01
Pu: 0.416 0.416 0.833  5.06
As: 0.252 0.252 0.000  0.00
As: 0.167 0.665 0.834  0.00
As: 0.419 0.417 0.334  0.00
As: 0.083 0.085 0.666  0.00
Pu: 0.666 0.166 0.333  5.06
Tb: 0.917 0.917 0.834  -0.01
Pu: 0.834 0.334 0.667  5.06
As: 0.502 0.002 0.500  0.00
As: 0.748 0.748 0.000  0.00
As: 0.831 0.333 0.166  0.00
As: 0.915 0.917 0.334  0.00
Pu: 0.500 0.000 0.999  -5.06
Pu: 0.584 0.584 0.167  5.06
As: 0.998 0.498 0.500  0.00
Tb: 0.333 0.833 0.666  -0.01
Pu: 0.250 0.250 0.499  -5.06
As: 0.667 0.169 0.834  0.00
As: 0.335 0.833 0.166  0.00
Tb: 0.083 0.083 0.166  -0.01

Calculated values
DFT total energy: -9.036 eV per atom
Space group: No. 70
DOS(E_F): 92.1 states/eV/cell
Calculated volume: 24.98 A^3/atom
DFT formation energy: -1.162 eV per atom
Total magnetization: 0.02 μB/f.u.

***

YW3: optimized geometry, PBE-GGA.

Cell lengths 4.838, 5.559, 3.212 Å; angles 73.21, 90.00, 115.80 degrees
Element x y z (fractional)
W: 0.017 0.034 0.983
W: 0.250 0.500 0.250
Y: 0.750 0.500 0.750
W: 0.483 0.966 0.517

Calculated values
DFT total energy: -10.838 eV per atom
Space group: No. 71
DOS(E_F): 3.7 states/eV/cell
Calculated volume: 18.41 A^3/atom
DFT formation energy: 0.493 eV per atom
Total magnetization: 0.00 μB/f.u.

***

Respective calculated density values: 8.90; 6.49; 9.39; 7.14; 3.49; 8.23; 11.16; 3.33; 9.90; 9.76; 1.44; 10.02; 6.85; 10.13; 12.56; 6.97; 7.67; 11.07; 9.66; 14.44 Mg/m³.